ScTa2Au: relaxed, PBE.

Cell and atoms, written as POSCAR:
```
ScTa2Au
1.0
-4.623 -2.637 0.607
-2.998 -4.234 -1.334
0.494 -3.886 3.613
Au Sc Ta
1 1 2
Cartesian
-3.519 -4.985 1.156
-1.636 -2.894 1.012
0.349 -3.671 3.315
-5.388 -8.470 2.460
```

- density of states at the Fermi level (states/eV/f.u.) = 3.368
- energy (eV/atom) = -8.33
- crystal system = monoclinic
- E above lowest polymorph (meV/atom) = 122
- SG = No. 8
- energy relative to the elements (eV per atom) = -0.002

AcReGe4: relaxed, PBE.

Cell and atoms, written as POSCAR:
```
AcReGe4
1.0
6.513 0.000 0.000
-3.257 5.817 0.485
0.000 -1.360 6.858
Ac Re Ge
2 2 8
Cartesian
2.591 -0.340 1.715
3.922 -1.020 5.144
1.628 2.908 0.243
-1.628 2.228 3.672
0.728 2.474 2.643
3.984 2.663 1.272
2.529 1.983 4.701
-0.728 1.794 6.072
-2.539 4.339 4.512
0.717 -0.562 6.260
5.796 0.118 2.831
2.539 5.019 1.083
```

- density of states at the Fermi level (states/eV/f.u.) = 4.273
- energy (eV/atom) = -5.98
- crystal system = monoclinic
- SG = No. 15
- energy relative to the elements (eV per atom) = -0.145

SrUSO2: relaxed, PBE.

Cell and atoms, written as POSCAR:
```
SrUSO2
1.0
-0.295 4.078 1.202
-0.023 -1.206 4.087
5.735 0.372 0.142
Sr U S O
1 1 1 2
Cartesian
3.526 1.675 2.736
0.060 0.004 0.002
2.790 -1.023 4.157
5.312 -0.257 2.175
5.153 1.179 4.820
```

- energy relative to the elements, uncorrected (meV/atom) = -2678
- density of states at the Fermi level (states/eV/f.u.) = 5.556
- energy (eV/atom) = -8.08
- crystal system = tetragonal
- SG = No. 99

Pm2MgZn4: relaxed, PBE.

Cell and atoms, written as POSCAR:
```
Pm2MgZn4
1.0
-2.650 -0.868 -3.966
1.194 -3.648 -2.962
-5.194 -6.487 1.927
Pm Mg Zn
2 1 4
Cartesian
-4.985 -8.250 -3.753
-1.665 -2.753 -1.248
0.000 0.000 0.000
-3.235 -6.397 -5.328
-3.416 -4.605 0.327
-1.549 -3.622 -4.099
-5.101 -7.381 -0.902
```

- density of states at the Fermi level (states/eV/f.u.) = 3.715
- energy (eV/atom) = -2.44
- crystal system = trigonal
- E above lowest polymorph (meV/atom) = 0
- SG = No. 166
- energy relative to the elements (eV per atom) = -0.127

Pm2Si3AgPd4: relaxed, PBE.

Cell and atoms, written as POSCAR:
```
Pm2Si3AgPd4
1.0
-1.152 3.611 1.967
-3.221 -2.062 1.900
6.133 -2.329 7.868
Pm Si Ag Pd
2 3 1 4
Cartesian
0.966 1.220 2.961
2.980 -2.775 6.840
3.066 -1.165 3.934
4.810 -0.240 7.893
-0.864 -1.315 1.908
0.880 -0.390 5.867
-2.186 0.774 1.933
0.000 0.000 0.000
3.401 0.295 6.086
0.545 -1.850 3.715
```

- energy relative to the elements, uncorrected (meV/atom) = -757
- density of states at the Fermi level (states/eV/f.u.) = 6.274
- energy (eV/atom) = -5.70
- crystal system = tetragonal
- SG = No. 115

Ga2Ag4Au: relaxed, PBE.

Cell and atoms, written as POSCAR:
```
Ga2Ag4Au
1.0
-0.458 0.562 -6.953
6.524 -1.766 1.785
-4.447 -4.920 2.210
Ga Ag Au
4 8 2
Cartesian
-1.830 -2.121 -4.796
-0.500 -3.468 -1.478
2.223 -5.092 0.653
3.345 -1.566 -0.294
4.236 -3.443 1.533
2.248 -3.624 -1.746
0.159 -3.989 -4.113
-2.325 -4.542 0.373
4.444 -1.137 -2.848
-2.582 -4.235 -3.100
-0.664 -0.946 -2.603
0.960 -2.578 0.672
0.000 0.000 0.000
1.807 -1.691 -3.770
```

- density of states at the Fermi level (states/eV/f.u.) = 2.054
- energy (eV/atom) = -2.88
- crystal system = tetragonal
- E above lowest polymorph (meV/atom) = 0
- SG = No. 122
- energy relative to the elements (eV per atom) = 0.082

AgHg2Ru: relaxed, PBE.

Cell and atoms, written as POSCAR:
```
AgHg2Ru
1.0
-0.941 2.921 6.079
-2.716 -3.919 -1.597
0.887 -1.596 2.412
Ag Hg Ru
1 2 1
Cartesian
-1.828 -0.499 2.241
0.000 0.000 0.000
-0.027 0.663 4.246
-0.914 -2.758 0.408
```

- density of states at the Fermi level (states/eV/f.u.) = 1.914
- energy (eV/atom) = -2.80
- crystal system = orthorhombic
- E above lowest polymorph (meV/atom) = 0
- SG = No. 65
- energy relative to the elements (eV per atom) = 0.385

CoCuSi2: relaxed, PBE.

Cell and atoms, written as POSCAR:
```
CoCuSi2
1.0
4.297 0.000 0.000
0.000 2.747 0.006
0.000 -0.012 4.055
Co Cu Si
1 1 2
Cartesian
0.000 1.025 2.014
2.148 2.394 3.006
0.000 2.404 0.086
2.148 1.026 0.991
```

- energy relative to the elements, uncorrected (meV/atom) = -126
- density of states at the Fermi level (states/eV/f.u.) = 1.740
- energy (eV/atom) = -5.64
- crystal system = orthorhombic
- SG = No. 25

EuYRhAu: relaxed, PBE.

Cell and atoms, written as POSCAR:
```
EuYRhAu
1.0
5.047 0.000 0.000
2.523 4.371 0.000
2.523 1.457 4.121
Eu Rh Au Y
1 1 1 1
Cartesian
2.523 1.457 1.030
5.047 2.914 2.060
0.000 0.000 0.000
7.570 4.371 3.091
```

- density of states at the Fermi level (states/eV/f.u.) = 9.189
- energy (eV/atom) = -7.51
- crystal system = cubic
- SG = No. 216
- energy relative to the elements (eV per atom) = -0.668

ZrB2Au: relaxed, PBE.

Cell and atoms, written as POSCAR:
```
ZrB2Au
1.0
4.033 0.000 0.000
0.000 4.033 0.000
2.017 2.017 7.353
B Au Zr
4 2 2
Cartesian
4.025 1.008 1.838
4.042 3.025 1.838
3.025 2.025 5.514
5.042 2.008 5.514
0.000 0.000 0.000
4.033 2.017 3.676
2.017 2.017 0.000
2.017 4.033 3.676
```

- density of states at the Fermi level (states/eV/f.u.) = 0.728
- energy (eV/atom) = -5.89
- crystal system = tetragonal
- E above lowest polymorph (meV/atom) = 0
- SG = No. 122
- energy relative to the elements (eV per atom) = 0.409

Nb2HgSbMo: relaxed, PBE.

Cell and atoms, written as POSCAR:
```
Nb2HgSbMo
1.0
5.052 0.000 0.000
0.000 4.898 0.000
0.000 0.000 5.052
Sb Mo Hg Nb
1 1 1 2
Cartesian
0.000 0.000 0.000
0.000 2.449 0.000
2.526 2.449 2.526
0.000 0.000 2.526
2.526 0.000 0.000
```

- energy relative to the elements, uncorrected (meV/atom) = 1570
- density of states at the Fermi level (states/eV/f.u.) = 8.364
- energy (eV/atom) = -5.51
- crystal system = tetragonal
- SG = No. 123

TaMn8Os3: relaxed, PBE.

Cell and atoms, written as POSCAR:
```
TaMn8Os3
1.0
4.685 0.000 0.000
-2.342 4.057 0.000
0.000 0.000 7.675
Ta Mn Os
1 8 3
Cartesian
0.000 0.000 4.324
0.000 2.705 3.840
0.000 2.705 7.675
2.342 0.066 5.795
1.228 1.996 5.795
3.456 1.996 5.795
0.000 1.293 1.899
-1.223 3.411 1.899
1.223 3.411 1.899
2.342 1.352 3.273
2.342 1.352 0.539
0.000 0.000 7.155
```

- density of states at the Fermi level (states/eV/f.u.) = 9.986
- energy (eV/atom) = -10.01
- crystal system = trigonal
- SG = No. 156
- energy relative to the elements (eV per atom) = -0.102

FeCoTcSb2: relaxed, PBE.

Cell and atoms, written as POSCAR:
```
FeCoTcSb2
1.0
5.059 0.000 0.000
0.000 4.592 0.000
0.000 0.000 5.059
Sb Co Tc Fe
2 1 1 1
Cartesian
0.000 0.000 2.530
2.530 0.000 0.000
0.000 2.296 0.000
0.000 0.000 0.000
2.530 2.296 2.530
```

- energy relative to the elements, uncorrected (meV/atom) = 1192
- density of states at the Fermi level (states/eV/f.u.) = 10.021
- energy (eV/atom) = -5.64
- crystal system = tetragonal
- SG = No. 123

Hf2AgW: relaxed, PBE.

Cell and atoms, written as POSCAR:
```
Hf2AgW
1.0
-0.250 0.468 -4.110
-2.287 -3.446 -0.254
-9.297 3.759 -1.095
Hf Ag W
4 2 2
Cartesian
-2.769 0.806 -2.914
-3.783 -1.160 -0.907
-7.902 1.736 -2.456
-9.215 0.181 -4.642
-1.269 -1.489 -2.182
-6.426 -0.588 -1.766
0.000 0.000 0.000
-5.408 1.369 -3.694
```

- density of states at the Fermi level (states/eV/f.u.) = 5.939
- energy (eV/atom) = -8.04
- crystal system = tetragonal
- E above lowest polymorph (meV/atom) = 912
- SG = No. 122
- energy relative to the elements (eV per atom) = 0.885

Ac6Ir2PdRu: relaxed, PBE.

Cell and atoms, written as POSCAR:
```
Ac6Ir2PdRu
1.0
-7.366 0.950 -1.178
-4.255 -5.811 -2.157
-5.129 -3.152 5.497
Ac Ir Pd Ru
6 2 1 1
Cartesian
-6.625 -1.698 0.110
-7.032 -5.871 -0.932
-10.502 -3.289 -0.995
-10.008 -6.308 2.086
-9.766 -2.247 3.074
-6.323 -4.631 3.171
-8.370 -3.997 1.049
-11.628 -4.868 -3.312
-12.254 -5.637 0.014
-3.881 -1.628 -1.073
```

- density of states at the Fermi level (states/eV/f.u.) = 4.054
- energy (eV/atom) = -6.20
- crystal system = triclinic
- SG = No. 1
- energy relative to the elements (eV per atom) = -0.512

CsRbMnI4: relaxed, PBE.

Cell and atoms, written as POSCAR:
```
CsRbMnI4
1.0
8.218 0.000 -0.088
0.000 8.405 0.000
-3.347 0.000 10.179
Cs Rb Mn I
2 2 2 8
Cartesian
2.825 6.303 9.353
2.046 2.101 0.737
4.906 6.303 4.531
-0.035 2.101 5.560
0.706 6.303 3.036
4.165 2.101 7.055
-2.467 4.218 7.691
7.339 0.016 2.399
7.339 4.187 2.399
-2.467 8.389 7.691
2.861 6.303 1.409
2.010 2.101 8.681
1.315 6.303 5.656
3.556 2.101 4.435
```

- energy relative to the elements, uncorrected (meV/atom) = -1100
- density of states at the Fermi level (states/eV/f.u.) = 0.000
- energy (eV/atom) = -3.56
- crystal system = monoclinic
- SG = No. 11

Th5IrSe5: relaxed, PBE.

Cell and atoms, written as POSCAR:
```
Th5IrSe5
1.0
5.952 0.000 0.000
-2.976 6.319 -2.184
0.000 0.057 8.358
Th Ir Se
5 1 5
Cartesian
2.976 4.299 -0.144
2.976 4.358 4.210
2.976 0.000 0.000
0.000 2.018 1.964
0.000 2.078 6.317
0.000 0.000 0.000
2.976 2.190 2.097
2.976 2.074 6.149
0.000 0.028 4.179
0.000 4.302 0.025
0.000 4.186 4.076
```

- energy relative to the elements, uncorrected (meV/atom) = -1514
- density of states at the Fermi level (states/eV/f.u.) = 6.126
- energy (eV/atom) = -7.28
- crystal system = monoclinic
- SG = No. 12

TbYZr2: relaxed, PBE.

Cell and atoms, written as POSCAR:
```
TbYZr2
1.0
4.836 0.000 0.000
0.000 4.711 0.000
0.000 0.000 4.711
Y Tb Zr
1 1 2
Cartesian
2.418 2.355 2.355
2.418 0.000 0.000
0.000 0.000 2.355
0.000 2.355 0.000
```

- density of states at the Fermi level (states/eV/f.u.) = 5.314
- energy (eV/atom) = -6.91
- crystal system = tetragonal
- E above lowest polymorph (meV/atom) = 12
- SG = No. 123
- energy relative to the elements (eV per atom) = 0.137

Ac2AgBi4: relaxed, PBE.

Cell and atoms, written as POSCAR:
```
Ac2AgBi4
1.0
-3.097 -0.574 -3.615
3.538 -1.681 -2.764
-2.018 -9.597 3.252
Ac Ag Bi
2 1 4
Cartesian
-3.092 -7.627 0.680
1.294 -3.097 -0.617
0.221 -1.127 -3.190
-1.865 -1.794 -1.297
0.068 -8.930 1.359
-0.788 -5.926 -1.564
-1.009 -4.798 1.626
```

- density of states at the Fermi level (states/eV/f.u.) = 3.427
- energy (eV/atom) = -4.37
- crystal system = tetragonal
- SG = No. 115
- energy relative to the elements (eV per atom) = -0.574

Ba7Pd5: relaxed, PBE.

Cell and atoms, written as POSCAR:
```
Ba7Pd5
1.0
-3.710 -0.036 2.583
1.052 -5.669 5.389
5.291 5.905 11.640
Ba Pd
7 5
Cartesian
1.570 -1.196 14.108
1.064 1.397 5.504
1.752 -2.764 6.436
0.881 2.964 13.177
-0.732 -1.189 2.889
1.317 0.100 9.806
3.365 1.389 16.724
-0.176 -2.104 11.587
2.810 2.304 8.025
-1.137 -1.304 6.262
3.770 1.504 13.350
0.000 0.000 0.000
```

- density of states at the Fermi level (states/eV/f.u.) = 6.462
- energy (eV/atom) = -3.74
- crystal system = monoclinic
- SG = No. 12
- energy relative to the elements (eV per atom) = -0.451

ZrTi2O: relaxed, PBE.

Cell and atoms, written as POSCAR:
```
ZrTi2O
1.0
3.056 0.000 0.000
1.528 2.646 0.000
1.528 0.882 7.533
Zr Ti O
1 2 1
Cartesian
3.056 1.764 3.785
1.528 0.882 6.345
1.528 0.882 1.191
4.584 2.646 7.510
```

- energy relative to the elements, uncorrected (meV/atom) = -1204
- density of states at the Fermi level (states/eV/f.u.) = 5.214
- energy (eV/atom) = -8.53
- crystal system = trigonal
- SG = No. 160

Sb2PdS4: relaxed, PBE.

Cell and atoms, written as POSCAR:
```
Sb2PdS4
1.0
3.731 0.000 0.000
-1.866 6.241 0.000
0.000 0.000 13.252
Sb Pd S
4 2 8
Cartesian
0.000 1.707 5.687
1.866 4.533 12.313
0.000 1.707 0.938
1.866 4.533 7.564
1.866 1.143 9.939
0.000 5.098 3.313
1.866 3.448 1.679
1.866 3.448 4.947
0.000 2.793 11.572
0.000 2.793 8.305
1.866 5.960 9.939
0.000 0.281 3.313
1.866 0.000 0.000
1.866 0.000 6.626
```

- energy relative to the elements, uncorrected (meV/atom) = -58
- density of states at the Fermi level (states/eV/f.u.) = 3.039
- energy (eV/atom) = -4.34
- crystal system = orthorhombic
- SG = No. 63

NdPt4: relaxed, PBE.

Cell and atoms, written as POSCAR:
```
NdPt4
1.0
8.010 0.000 0.000
-2.670 7.552 0.000
-2.670 -3.776 6.540
Nd Pt
4 16
Cartesian
4.448 0.000 0.000
-1.483 4.194 0.000
1.187 1.679 2.908
-1.483 -2.097 3.632
1.686 0.000 0.000
-0.562 1.590 0.000
2.108 2.981 5.163
-0.562 -0.795 1.377
1.860 -1.315 2.278
3.480 -2.461 4.262
-3.480 2.461 4.262
-1.860 1.315 2.278
1.860 2.631 0.000
3.480 4.921 0.000
-1.335 0.944 4.905
4.005 2.832 1.635
1.335 -0.944 4.905
1.335 4.720 1.635
4.005 0.000 3.270
-1.335 3.776 3.270
```

- density of states at the Fermi level (states/eV/f.u.) = 5.586
- energy (eV/atom) = -6.37
- crystal system = cubic
- SG = No. 217
- energy relative to the elements (eV per atom) = -0.582

HoMnNiPd: relaxed, PBE.

Cell and atoms, written as POSCAR:
```
HoMnNiPd
1.0
4.598 0.000 0.000
2.299 3.982 0.000
2.299 1.327 3.754
Ni Mn Ho Pd
1 1 1 1
Cartesian
4.598 2.655 1.877
2.299 1.327 0.939
6.897 3.982 2.816
0.000 0.000 0.000
```

- density of states at the Fermi level (states/eV/f.u.) = 3.014
- energy (eV/atom) = -6.50
- crystal system = cubic
- SG = No. 216
- energy relative to the elements (eV per atom) = -0.316